Entry 1:
! SmTlGeO4 (PBE, relaxed); values from VASP
&SYSTEM
  ibrav = 0, nat = 14, ntyp = 4
/
ATOMIC_SPECIES
Sm 150.36 Sm.upf
O 16.00 O.upf
Ge 72.64 Ge.upf
Tl 204.38 Tl.upf
ATOMIC_POSITIONS angstrom
Sm 0.0094 1.4878 4.1360
O -0.3232 3.1086 2.5010
O 1.5362 1.4878 5.9416
O 2.2631 1.4878 3.2717
O 4.1382 0.1330 5.0309
Ge 2.9711 1.4878 4.9108
O 1.5519 4.4634 4.2602
O 4.1382 2.8426 5.0309
O -0.3232 5.8183 2.5010
Ge 0.8440 4.4634 2.6211
Sm 3.8056 4.4634 3.3959
Tl 1.7734 1.4878 0.7993
O 2.2788 4.4634 1.5903
Tl 2.0417 4.4634 6.7327
CELL_PARAMETERS angstrom
6.0227 0.0000 0.1316
0.0000 5.9513 0.0000
-2.2076 0.0000 7.4004
! - Calculated total energy: -6.590 eV per atom
! - Volume: 267.0 Å³ per cell
! - Energy relative to the elements, uncorrected: -2.09 eV per atom
! - D(E_F): 0.000 states/eV per atom
! - Density: 6113 kg/m3
! - Size of the total moment: 0.000 μB per formula unit

Entry 2:
! Sm2Tm4Ge3O2 (PBE, relaxed); values from VASP
&SYSTEM
  ibrav = 0, nat = 11, ntyp = 4
/
ATOMIC_SPECIES
Tm 168.93 Tm.upf
Ge 72.64 Ge.upf
O 16.00 O.upf
Sm 150.36 Sm.upf
ATOMIC_POSITIONS angstrom
Tm -3.8925 -7.5282 5.7430
Ge 0.0000 0.0000 0.0000
O -3.0924 -5.9014 7.0955
Ge -1.2993 -2.4796 2.9813
Tm -1.1673 -7.0688 7.3129
Tm -1.3216 -2.6220 -0.1559
Tm 1.4036 -2.1625 1.4139
O 0.6035 -3.7893 0.0614
Sm -0.2071 -5.3364 1.9215
Sm -2.2817 -4.3544 5.2355
Ge -1.1896 -7.2112 4.1757
CELL_PARAMETERS angstrom
-1.4384 -2.9449 -3.0762
4.0120 -2.0259 0.0635
-5.0624 -4.7199 10.1696
! - Calculated total energy: -6.248 eV per atom
! - Volume: 240.1 Å³ per cell
! - Energy relative to the elements, uncorrected: -1.60 eV per atom
! - D(E_F): 0.716 states/eV per atom
! - Density: 8482 kg/m3
! - Size of the total moment: 0.002 μB per formula unit